a) Material: PmTm2Al2
Method: DFT, PBE
State: optimized geometry

abc: 3.619 5.184 13.529
angles: 90.00 97.69 90.00
Positions (direct):
Al (0.640, 0.750, 0.281)
Al (0.360, 0.250, 0.719)
Al (0.547, 0.250, 0.094)
Al (0.453, 0.750, 0.906)
Tm (0.953, 0.250, 0.906)
Tm (0.047, 0.750, 0.094)
Tm (0.233, 0.750, 0.466)
Tm (0.767, 0.250, 0.534)
Pm (0.856, 0.750, 0.710)
Pm (0.144, 0.250, 0.290)

Calculated values
Crystal system ... monoclinic

b) Material: PmTm2Al2
Method: DFT, PBE
State: optimized geometry

abc: 3.730 5.557 13.131
angles: 96.58 90.00 90.00
Positions (direct):
Pm (0.250, 0.680, 0.234)
Pm (0.750, 0.320, 0.766)
Al (0.250, 0.794, 0.658)
Al (0.750, 0.206, 0.342)
Al (0.750, 0.646, 0.038)
Al (0.250, 0.354, 0.962)
Tm (0.750, 0.740, 0.464)
Tm (0.750, 0.152, 0.110)
Tm (0.250, 0.260, 0.536)
Tm (0.250, 0.848, 0.890)

Calculated values
Crystal system ... monoclinic

Stability summary - winner: a); margin: 13.0 kJ/mol of atoms.

a) Material: PmAl2V
Method: DFT, PBE
State: optimized geometry

abc: 3.009 3.009 9.990
angles: 81.34 81.34 60.00
Positions (direct):
V (0.000, 0.000, 0.000)
Al (0.263, 0.263, 0.212)
Al (0.737, 0.737, 0.788)
Pm (0.500, 0.500, 0.500)

Calculated values
Crystal system ... trigonal

b) Material: PmAl2V
Method: DFT, PBE
State: optimized geometry

abc: 3.315 3.315 7.187
angles: 90.00 90.00 90.00
Site moments in Bohr magnetons follow the coordinates.
Positions (direct):
Al (0.000, 0.000, 0.808)  0.00
Al (0.000, 0.000, 0.192)  0.00
Pm (0.500, 0.500, 0.500)  -0.07
V (0.500, 0.500, 0.000)  1.91

Calculated values
Crystal system ... tetragonal

Stability summary - winner: b); margin: 27.7 kJ/mol of atoms.

a) Material: PmY4Al
Method: DFT, PBE
State: optimized geometry

abc: 3.578 3.578 14.058
angles: 90.00 90.00 90.00
Positions (direct):
Y (0.000, 0.000, 0.633)
Y (0.500, 0.500, 0.818)
Y (0.000, 0.000, 0.367)
Y (0.500, 0.500, 0.182)
Pm (0.000, 0.000, 0.000)
Al (0.500, 0.500, 0.500)

Calculated values
Crystal system ... tetragonal

b) Material: PmY4Al
Method: DFT, PBE
State: optimized geometry

abc: 6.229 9.009 8.271
angles: 114.13 100.38 111.14
Positions (direct):
Y (0.771, 0.716, 0.636)
Y (0.043, 0.179, 0.795)
Y (0.366, 0.920, 0.636)
Y (0.634, 0.080, 0.364)
Y (0.252, 0.616, 0.795)
Y (0.229, 0.284, 0.364)
Y (0.748, 0.384, 0.205)
Y (0.957, 0.821, 0.205)
Pm (0.357, 0.607, 0.214)
Pm (0.643, 0.393, 0.786)
Al (0.249, 0.999, 0.999)
Al (0.751, 0.001, 0.001)

Calculated values
Crystal system ... monoclinic

Stability summary - winner: a); margin: 7.2 kJ/mol of atoms.

a) Material: Pm3YAl
Method: DFT, PBE
State: optimized geometry

abc: 5.848 8.022 8.022
angles: 120.00 90.00 90.00
Positions (direct):
Y (0.750, 0.667, 0.333)
Y (0.250, 0.333, 0.667)
Al (0.000, 0.000, 0.000)
Al (0.500, 0.000, 0.000)
Pm (0.250, 0.379, 0.190)
Pm (0.750, 0.190, 0.379)
Pm (0.250, 0.810, 0.190)
Pm (0.750, 0.621, 0.810)
Pm (0.750, 0.190, 0.810)
Pm (0.250, 0.810, 0.621)

Calculated values
Crystal system ... hexagonal

b) Material: Pm3YAl
Method: DFT, PBE
State: optimized geometry

abc: 3.657 6.912 12.551
angles: 84.00 90.00 74.66
Positions (direct):
Pm (0.143, 0.715, 0.447)
Pm (0.637, 0.725, 0.982)
Pm (0.965, 0.071, 0.804)
Pm (0.363, 0.275, 0.018)
Pm (0.857, 0.285, 0.553)
Pm (0.035, 0.929, 0.196)
Y (0.218, 0.565, 0.746)
Y (0.782, 0.435, 0.254)
Al (0.550, 0.899, 0.619)
Al (0.450, 0.101, 0.381)

Calculated values
Crystal system ... monoclinic

Stability summary - winner: b); margin: 18.7 kJ/mol of atoms.

a) Material: Pm2YAl
Method: DFT, PBE
State: optimized geometry

abc: 3.670 3.670 10.835
angles: 80.25 80.25 60.00
Site moments in Bohr magnetons follow the coordinates.
Positions (direct):
Pm (0.073, 0.073, 0.782)  0.07
Pm (0.261, 0.261, 0.217)  0.04
Al (0.666, 0.666, 0.001)  0.00
Y (0.500, 0.500, 0.499)  0.21

Calculated values
Crystal system ... trigonal

b) Material: Pm2YAl
Method: DFT, PBE
State: optimized geometry

abc: 5.447 5.447 5.447
angles: 60.00 60.00 60.00
Positions (direct):
Pm (0.250, 0.250, 0.250)
Pm (0.750, 0.750, 0.750)
Al (0.000, 0.000, 0.000)
Y (0.500, 0.500, 0.500)

Calculated values
Crystal system ... cubic

c) Material: Pm2YAl
Method: DFT, PBE
State: optimized geometry

abc: 4.896 4.820 4.820
angles: 90.00 90.00 90.00
Positions (direct):
Al (0.500, 0.500, 0.500)
Pm (0.000, 0.000, 0.500)
Pm (0.000, 0.500, 0.000)
Y (0.500, 0.000, 0.000)

Calculated values
Crystal system ... tetragonal

d) Material: Pm2YAl
Method: DFT, PBE
State: optimized geometry

abc: 5.345 7.001 7.001
angles: 120.01 90.00 90.00
Positions (direct):
Al (0.000, 0.336, 0.664)
Al (0.500, 0.666, 0.334)
Pm (0.500, 0.176, 0.824)
Pm (0.000, 0.822, 0.178)
Pm (0.000, 0.823, 0.645)
Pm (0.000, 0.355, 0.177)
Y (0.500, 0.647, 0.824)
Y (0.500, 0.176, 0.353)

Calculated values
Crystal system ... orthorhombic

Stability summary - winner: d); margin: 1.3 kJ/mol of atoms.

a) Material: PmY2Al
Method: DFT, PBE
State: optimized geometry

abc: 3.614 3.614 10.712
angles: 80.29 80.29 60.00
Positions (direct):
Y (0.071, 0.071, 0.786)
Y (0.262, 0.262, 0.214)
Pm (0.500, 0.500, 0.499)
Al (0.666, 0.666, 0.001)

Calculated values
Crystal system ... trigonal

b) Material: PmY2Al
Method: DFT, PBE
State: optimized geometry

abc: 3.545 3.545 9.098
angles: 90.00 90.00 90.00
Positions (direct):
Pm (0.500, 0.500, 0.500)
Y (0.000, 0.000, 0.791)
Y (0.000, 0.000, 0.209)
Al (0.500, 0.500, 0.000)

Calculated values
Crystal system ... tetragonal

Stability summary - winner: b); margin: 12.0 kJ/mol of atoms.

a) Material: PmY2Al
Method: DFT, PBE
State: optimized geometry

abc: 4.792 4.827 4.827
angles: 90.00 90.00 90.00
Positions (direct):
Y (0.000, 0.000, 0.500)
Y (0.000, 0.500, 0.000)
Pm (0.500, 0.500, 0.500)
Al (0.500, 0.000, 0.000)

Calculated values
Crystal system ... tetragonal

b) Material: PmY2Al
Method: DFT, PBE
State: optimized geometry

abc: 5.409 5.409 5.409
angles: 60.00 60.00 60.00
Site moments in Bohr magnetons follow the coordinates.
Positions (direct):
Y (0.750, 0.750, 0.750)  0.22
Y (0.250, 0.250, 0.250)  0.22
Pm (0.000, 0.000, 0.000)  0.34
Al (0.500, 0.500, 0.500)  0.00

Calculated values
Crystal system ... cubic

c) Material: PmY2Al
Method: DFT, PBE
State: optimized geometry

abc: 5.355 6.196 6.750
angles: 90.00 90.00 90.00
Positions (direct):
Pm (0.500, 0.621, 0.000)
Pm (0.000, 0.379, 0.500)
Y (0.000, 0.842, 0.744)
Y (0.500, 0.158, 0.756)
Y (0.000, 0.842, 0.256)
Y (0.500, 0.158, 0.244)
Al (0.000, 0.322, 0.000)
Al (0.500, 0.678, 0.500)

Calculated values
Crystal system ... orthorhombic

Stability summary - winner: a); margin: 1.6 kJ/mol of atoms.

a) Material: Pm3YAl8
Method: DFT, PBE
State: optimized geometry

abc: 5.630 5.630 9.789
angles: 73.29 73.29 60.00
Positions (direct):
Al (0.937, 0.437, 0.189)
Al (0.188, 0.188, 0.437)
Al (0.437, 0.937, 0.189)
Al (0.938, 0.438, 0.686)
Al (0.938, 0.938, 0.686)
Al (0.687, 0.687, 0.938)
Al (0.437, 0.437, 0.189)
Al (0.438, 0.938, 0.686)
Y (0.875, 0.875, 0.374)
Pm (0.375, 0.375, 0.875)
Pm (0.000, 0.000, 0.000)
Pm (0.500, 0.500, 0.501)

Calculated values
Crystal system ... trigonal

b) Material: Pm3YAl8
Method: DFT, PBE
State: optimized geometry

abc: 5.624 5.624 9.270
angles: 90.00 90.00 120.00
Positions (direct):
Y (0.000, 0.000, 0.568)
Al (0.504, 0.496, 0.748)
Al (0.162, 0.838, 0.252)
Al (0.504, 0.009, 0.748)
Al (0.991, 0.496, 0.748)
Al (0.676, 0.838, 0.252)
Al (0.333, 0.667, 0.999)
Al (0.333, 0.667, 0.501)
Al (0.162, 0.324, 0.252)
Pm (0.000, 0.000, 0.933)
Pm (0.667, 0.333, 0.432)
Pm (0.667, 0.333, 0.069)

Calculated values
Crystal system ... trigonal

Stability summary - winner: a); margin: 0.9 kJ/mol of atoms.